1.
# NaTeCN2

A geometry-optimized NaTeCN2 structure (PBE, Alexandria).

Computed properties:
E_tot in eV per atom: -2.98
Excess energy over the best structure of this formula in the dataset in eV/atom: 0.858
E_form (uncorrected) in eV/atom: 3.08

abc: 4.178 4.178 6.667
angles: 90.00 90.00 90.00
Fractional positions:
Na 0.000 0.000 0.000
Te 0.000 0.000 0.500
C 0.500 0.500 0.500
N 0.000 0.500 0.000
N 0.500 0.000 0.000

---

2.
# NaTe2CN

A geometry-optimized NaTe2CN structure (PBE, Alexandria).

Computed properties:
E_tot in eV per atom: -2.53
Excess energy over the best structure of this formula in the dataset in eV/atom: 1.843
E_form (uncorrected) in eV/atom: 2.50

abc: 5.531 5.531 4.276
angles: 90.00 90.00 90.00
Fractional positions:
Na 0.000 0.000 0.000
Te 0.000 0.500 0.000
Te 0.500 0.000 0.000
C 0.500 0.500 0.500
N 0.000 0.000 0.500

---

3.
# NaYCN2

A geometry-optimized NaYCN2 structure (PBE, Alexandria).

Computed properties:
E_tot in eV per atom: -7.10
E_form (uncorrected) in eV/atom: -0.37

abc: 7.091 4.535 5.496
angles: 90.00 90.00 90.00
Fractional positions:
Na 0.250 0.000 0.120
Na 0.750 0.000 0.880
Y 0.250 0.500 0.558
Y 0.750 0.500 0.442
C 0.000 0.500 0.000
C 0.500 0.500 0.000
N 0.045 0.500 0.220
N 0.455 0.500 0.220
N 0.545 0.500 0.780
N 0.955 0.500 0.780

---

4.
# Nb3C2N

A geometry-optimized Nb3C2N structure (PBE, Alexandria).

Computed properties:
E_tot in eV per atom: -10.14
E_form (uncorrected) in eV/atom: -0.65

abc: 10.512 10.018 5.515
angles: 79.43 69.53 31.04
Fractional positions:
Nb 0.041 0.546 0.194
Nb 0.115 0.635 0.635
Nb 0.194 0.719 0.041
Nb 0.281 0.806 0.454
Nb 0.365 0.885 0.885
Nb 0.454 0.959 0.281
Nb 0.546 0.041 0.719
Nb 0.635 0.115 0.115
Nb 0.719 0.194 0.546
Nb 0.806 0.281 0.959
Nb 0.885 0.365 0.365
Nb 0.959 0.454 0.806
C 0.041 0.041 0.209
C 0.126 0.126 0.624
C 0.209 0.209 0.041
C 0.376 0.376 0.874
C 0.624 0.624 0.126
C 0.791 0.791 0.959
C 0.874 0.874 0.376
C 0.959 0.959 0.791
N 0.292 0.292 0.458
N 0.458 0.458 0.292
N 0.542 0.542 0.708
N 0.708 0.708 0.542

---

- The highest E_tot belongs to which entry?
  NaTe2CN

---

- Which of these has the lowest E_form (uncorrected)?
  Nb3C2N

---

- What is the E_form (uncorrected) in the second record?
  2.50 eV/atom